No. 1
Density functional theory data (PBE) for an optimized crystal structure of NaCd2Ni2.

- Distance to the lowest polymorph of the same formula: 170.1 meV/atom
- Space-group type: No. 139
- VASP energy: -2.712 eV/atom
- ΔH_f (0 K): 1.153 eV per formula unit

Structure (CIF):
```
data_NaCd2Ni2
_chemical_formula_sum 'Na1 Cd2 Ni2'
_cell_length_a 4.4393
_cell_length_b 4.4393
_cell_length_c 5.9556
_cell_angle_alpha 68.12
_cell_angle_beta 68.12
_cell_angle_gamma 90.00
_space_group_name_H-M_alt 'P 1'
_space_group_IT_number 1
loop_
_space_group_symop_operation_xyz
'x,y,z'
loop_
_atom_site_label
_atom_site_type_symbol
_atom_site_fract_x
_atom_site_fract_y
_atom_site_fract_z
Ni1 Ni 0.3891 0.3891 0.2218
Ni2 Ni 0.6109 0.6109 0.7782
Na1 Na 0.0000 0.0000 0.0000
Cd1 Cd 0.7500 0.2500 0.5000
Cd2 Cd 0.2500 0.7500 0.5000
```

---

No. 2
Density functional theory data (PBE) for an optimized crystal structure of BaCeSi4.

- Space-group type: No. 55
- VASP energy: -5.309 eV/atom

Structure (CIF):
```
data_BaCeSi4
_chemical_formula_sum 'Ba4 Ce4 Si16'
_cell_length_a 4.5737
_cell_length_b 7.9613
_cell_length_c 15.6595
_cell_angle_alpha 90.00
_cell_angle_beta 90.00
_cell_angle_gamma 90.00
_space_group_name_H-M_alt 'P 1'
_space_group_IT_number 1
loop_
_space_group_symop_operation_xyz
'x,y,z'
loop_
_atom_site_label
_atom_site_type_symbol
_atom_site_fract_x
_atom_site_fract_y
_atom_site_fract_z
Ba1 Ba 0.0000 0.6227 0.3481
Ba2 Ba 0.0000 0.3773 0.6519
Ba3 Ba 0.0000 0.1227 0.1519
Ba4 Ba 0.0000 0.8773 0.8481
Ce1 Ce 0.0000 0.6294 0.0866
Ce2 Ce 0.0000 0.3706 0.9134
Ce3 Ce 0.0000 0.1294 0.4134
Ce4 Ce 0.0000 0.8706 0.5866
Si1 Si 0.5000 0.7814 0.1911
Si2 Si 0.5000 0.2186 0.8089
Si3 Si 0.5000 0.2814 0.3089
Si4 Si 0.5000 0.7186 0.6911
Si5 Si 0.5000 0.8708 0.0422
Si6 Si 0.5000 0.1292 0.9578
Si7 Si 0.5000 0.3708 0.4578
Si8 Si 0.5000 0.6292 0.5422
Si9 Si 0.5000 0.8804 0.4542
Si10 Si 0.5000 0.1196 0.5458
Si11 Si 0.5000 0.3804 0.0458
Si12 Si 0.5000 0.6196 0.9542
Si13 Si 0.5000 0.9781 0.3067
Si14 Si 0.5000 0.0219 0.6933
Si15 Si 0.5000 0.4781 0.1933
Si16 Si 0.5000 0.5219 0.8067
```

---

No. 3
Density functional theory data (PBE) for an optimized crystal structure of KCoP2.

- Distance to the lowest polymorph of the same formula: 208.9 meV/atom
- Space-group type: No. 71
- VASP energy: -4.887 eV/atom
- ΔH_f (0 K): -0.525 eV per formula unit

Structure (CIF):
```
data_KCoP2
_chemical_formula_sum 'K1 Co1 P2'
_cell_length_a 5.3880
_cell_length_b 5.3880
_cell_length_c 5.3880
_cell_angle_alpha 138.58
_cell_angle_beta 103.89
_cell_angle_gamma 90.58
_space_group_name_H-M_alt 'P 1'
_space_group_IT_number 1
loop_
_space_group_symop_operation_xyz
'x,y,z'
loop_
_atom_site_label
_atom_site_type_symbol
_atom_site_fract_x
_atom_site_fract_y
_atom_site_fract_z
Co1 Co 0.7500 0.2500 0.5000
K1 K 0.2500 0.7500 0.5000
P1 P 0.8914 0.8914 0.0000
P2 P 0.6086 0.6086 0.0000
```

---

No. 4
Density functional theory data (PBE) for an optimized crystal structure of Cd2FeOs.

- Distance to the lowest polymorph of the same formula: 50.2 meV/atom
- Space-group type: No. 160
- VASP energy: -5.071 eV/atom
- ΔH_f (0 K): 1.238 eV per formula unit

Structure (CIF):
```
data_Cd2FeOs
_chemical_formula_sum 'Cd2 Fe1 Os1'
_cell_length_a 9.7509
_cell_length_b 9.7509
_cell_length_c 9.7509
_cell_angle_alpha 16.68
_cell_angle_beta 16.68
_cell_angle_gamma 16.68
_space_group_name_H-M_alt 'P 1'
_space_group_IT_number 1
loop_
_space_group_symop_operation_xyz
'x,y,z'
loop_
_atom_site_label
_atom_site_type_symbol
_atom_site_fract_x
_atom_site_fract_y
_atom_site_fract_z
Cd1 Cd 0.0065 0.0065 0.0065
Cd2 Cd 0.2406 0.2406 0.2406
Fe1 Fe 0.4927 0.4927 0.4927
Os1 Os 0.7602 0.7602 0.7602
```